No. 1
Compound: SrOs
Source: the Alexandria database
Functional: GGA-PBE
Structure: relaxed

a b c (Å): 3.1100 3.1100 5.0466
angles (deg): 90.00 90.00 120.00
Sites, in units of the cell vectors:
Os  0.0000  0.0000  0.0000
Sr  0.3333  0.6667  0.5000

Calculated values
The formation energy is 1.313 eV per atom. The calculation puts the uncorrected energy at -5.14 eV per atom. Its space group is P-6m2. The density of states at the Fermi level is 1.10 states/eV/atom.

=====

No. 2
Compound: HoGa4RuRh2
Source: the Alexandria database
Functional: GGA-PBE
Structure: relaxed

a b c (Å): 4.2318 4.2318 8.8312
angles (deg): 76.14 76.14 60.00
Sites, in units of the cell vectors:
Ru  0.5000  0.5000  0.5000
Ga  0.8679  0.8679  0.3962
Ga  0.6011  0.6011  0.1968
Ga  0.1321  0.1321  0.6038
Ga  0.3989  0.3989  0.8032
Rh  0.2401  0.2401  0.2797
Rh  0.7599  0.7599  0.7203
Ho  0.0000  0.0000  0.0000

Calculated values
The formation energy is -0.627 eV per atom. The calculation puts the uncorrected energy at -5.71 eV per atom. Its space group is R-3m. The density of states at the Fermi level is 0.45 states/eV/atom.

=====

No. 3
Compound: ScGaIO2
Source: the Alexandria database
Functional: GGA-PBE
Structure: relaxed

a b c (Å): 3.9813 5.4263 3.9813
angles (deg): 90.00 90.00 90.00
Sites, in units of the cell vectors:
I  0.0000  0.5000  0.0000
O  0.0000  0.0000  0.5000
O  0.5000  0.0000  0.0000
Sc  0.5000  0.5000  0.5000
Ga  0.0000  0.0000  0.0000

Calculated values
The calculation puts the uncorrected energy at -4.86 eV per atom. Its space group is P4/mmm. The density of states at the Fermi level is 0.50 states/eV/atom. For the polymorph energy (0 for the lowest one), the calculation gives 589 meV/atom. The energy relative to the elements, uncorrected is -0.70 eV per atom.

=====

No. 4
Compound: Dy4PaAs5
Source: the Alexandria database
Functional: GGA-PBE
Structure: relaxed

a b c (Å): 5.8129 7.1152 7.1152
angles (deg): 80.39 65.89 65.89
Sites, in units of the cell vectors:
As  0.0993  0.6058  0.1975
As  0.9027  0.3942  0.8025
As  0.7052  0.1975  0.3942
As  0.2969  0.8025  0.6058
As  0.5012  0.0000  0.0000
Pa  0.0011  0.0000  0.0000
Dy  0.4019  0.4012  0.7970
Dy  0.1989  0.2030  0.4012
Dy  0.8031  0.7970  0.5988
Dy  0.6001  0.5988  0.2030

Calculated values
The formation energy is -1.448 eV per atom. The calculation puts the uncorrected energy at -6.56 eV per atom. Its space group is I4/m. The density of states at the Fermi level is 0.52 states/eV/atom.

=====

No. 5
Compound: MgTa2PtS
Source: the Alexandria database
Functional: GGA-PBE
Structure: relaxed

a b c (Å): 4.8692 4.2029 4.8692
angles (deg): 90.00 90.00 90.00
Sites, in units of the cell vectors:
Pt  0.5000  0.5000  0.5000
Ta  0.0000  0.0000  0.5000
Ta  0.5000  0.0000  0.0000
Mg  0.0000  0.0000  0.0000
S  0.0000  0.5000  0.0000

Calculated values
The calculation puts the uncorrected energy at -5.43 eV per atom. Its space group is P4/mmm. The density of states at the Fermi level is 1.39 states/eV/atom. The energy relative to the elements, uncorrected is 1.67 eV per atom.

=====

No. 6
Compound: HPdAu
Source: the Alexandria database
Functional: GGA-PBE
Structure: relaxed

a b c (Å): 3.8030 3.8030 4.0704
angles (deg): 117.85 117.85 90.00
Sites, in units of the cell vectors:
Au  0.0034  0.0034  0.0068
Pd  0.5582  0.5582  0.1165
H  0.2884  0.2884  0.5768

Calculated values
The calculation puts the uncorrected energy at -3.66 eV per atom. Its space group is I4mm. The density of states at the Fermi level is 0.47 states/eV/atom. For the polymorph energy (0 for the lowest one), the calculation gives 337 meV/atom.

=====

No. 7
Compound: Hf2CrAg
Source: the Alexandria database
Functional: GGA-PBE
Structure: relaxed

a b c (Å): 3.1975 3.1975 7.1717
angles (deg): 90.00 90.00 90.00
Sites, in units of the cell vectors:
Hf  0.0000  0.0000  0.7851
Hf  0.0000  0.0000  0.2149
Cr  0.5000  0.5000  0.0000
Ag  0.5000  0.5000  0.5000

Calculated values
The formation energy is 0.006 eV per atom. The calculation puts the uncorrected energy at -8.09 eV per atom. Its space group is P4/mmm. The density of states at the Fermi level is 0.88 states/eV/atom. For the polymorph energy (0 for the lowest one), the calculation gives 0 meV/atom.

=====

| no. | total magnetic moment (μB per atom) |
| --- | --- |
| 1 | 0.000 |
| 2 | 0.000 |
| 3 | 0.000 |
| 4 | 0.017 |
| 5 | 0.000 |
| 6 | 0.000 |
| 7 | 0.074 |